No. 1
Computed, not measured: a relaxed CaFeI2 crystal at the PBE-GGA level of DFT.

energy relative to the lowest polymorph listed for this composition: 0.0 meV per atom
space-group type: I-42d
calculated volume: 273.03 Å³/cell

abc: 6.411 6.411 8.042
angles: 66.51 66.51 90.00
Each line ends with the local moment (μB).
Atoms (fractional coordinates):
I 0.063 0.625 0.250  0.01
Fe 0.000 0.000 0.000  2.33
I 0.687 0.125 0.250  0.01
I 0.375 0.313 0.750  0.01
Fe 0.750 0.250 0.500  2.35
Ca 0.250 0.750 0.500  -0.09
I 0.875 0.937 0.750  0.01
Ca 0.500 0.500 0.000  -0.10



No. 2
Computed, not measured: a relaxed BeCrRh2 crystal at the PBE-GGA level of DFT.

space-group type: Immm
formation energy from the elements: -119 meV per atom
calculated volume: 48.40 Å³/cell

abc: 4.780 4.780 4.350
angles: 62.93 62.93 33.61
Atoms (fractional coordinates):
Cr 0.250 0.250 0.250
Rh 0.471 0.471 0.529
Rh 0.029 0.029 0.971
Be 0.750 0.750 0.750



No. 3
Computed, not measured: a relaxed BiPdSe2 crystal at the PBE-GGA level of DFT.

E: -4.172 eV per atom
space-group type: Pna2_1
calculated volume: 439.77 Å³/cell

abc: 7.741 7.723 7.355
angles: 90.00 90.00 90.00
Atoms (fractional coordinates):
Bi 0.036 0.605 0.308
Bi 0.036 0.105 0.192
Se 0.816 0.887 0.399
Se 0.431 0.583 0.379
Se 0.316 0.113 0.601
Pd 0.490 0.404 0.097
Bi 0.536 0.395 0.692
Bi 0.536 0.895 0.808
Se 0.931 0.917 0.879
Pd 0.490 0.904 0.403
Se 0.931 0.417 0.621
Se 0.316 0.613 0.899
Pd 0.990 0.096 0.597
Se 0.431 0.083 0.121
Pd 0.990 0.596 0.903
Se 0.816 0.387 0.101



No. 4
Computed, not measured: a relaxed CoIrOs2 crystal at the PBE-GGA level of DFT.

energy relative to the lowest polymorph listed for this composition: 322.8 meV per atom
space-group type: R3m
formation energy from the elements: 414 meV per atom
calculated volume: 58.17 Å³/cell

abc: 4.099 4.099 4.645
angles: 63.82 63.82 60.00
Atoms (fractional coordinates):
Os 0.046 0.046 0.861
Os 0.270 0.270 0.190
Ir 0.483 0.483 0.550
Co 0.701 0.701 0.898



No. 5
Computed, not measured: a relaxed BaGaHg2 crystal at the PBE-GGA level of DFT.

space-group type: P3_121
formation energy from the elements: -297 meV per atom
calculated volume: 372.44 Å³/cell

abc: 7.195 7.195 8.306
angles: 90.00 90.00 120.00
Atoms (fractional coordinates):
Ga 0.000 0.761 0.167
Hg 0.367 0.822 0.001
Ba 0.283 0.283 0.000
Hg 0.455 0.633 0.668
Ga 0.239 0.239 0.500
Ba 0.717 0.000 0.333
Hg 0.822 0.367 0.999
Ga 0.761 0.000 0.833
Hg 0.633 0.455 0.332
Hg 0.545 0.178 0.665
Ba 0.000 0.717 0.667
Hg 0.178 0.545 0.335



No. 6
Computed, not measured: a relaxed Li3Y3PaS8 crystal at the PBE-GGA level of DFT.

E: -6.286 eV per atom
space-group type: R-3m
calculated volume: 333.62 Å³/cell

abc: 7.902 7.901 7.676
angles: 121.00 90.00 120.00
Each line ends with the local moment (μB).
Atoms (fractional coordinates):
S 0.755 0.000 0.746  -0.01
S 0.755 0.509 0.255  -0.01
S 0.245 0.000 0.746  -0.01
S 0.250 0.500 0.250  0.00
S 0.750 0.500 0.750  0.00
S 0.755 0.000 0.254  -0.01
Li 0.500 0.500 0.000  0.00
Li 0.000 0.500 0.000  0.00
Y 0.500 0.000 0.500  0.03
Pa 0.000 0.000 0.500  0.78
S 0.245 0.491 0.745  -0.01
Y 0.500 0.500 0.500  0.03
Y 0.000 0.500 0.500  0.03
Li 0.000 0.000 0.000  0.00
S 0.245 0.000 0.254  -0.01



No. 7
Computed, not measured: a relaxed Tl2IrPd crystal at the PBE-GGA level of DFT.

energy relative to the lowest polymorph listed for this composition: 276.2 meV per atom
space-group type: I-42d
formation energy from the elements: 534 meV per atom
calculated volume: 172.78 Å³/cell

abc: 4.312 4.312 9.779
angles: 77.26 77.26 90.00
Atoms (fractional coordinates):
Tl 0.629 0.125 0.250
Tl 0.121 0.625 0.250
Pd 0.250 0.750 0.500
Tl 0.375 0.371 0.750
Ir 0.750 0.250 0.500
Pd 0.500 0.500 0.000
Ir 0.000 0.000 0.000
Tl 0.875 0.879 0.750



No. 8
Computed, not measured: a relaxed Nd5SnSe5 crystal at the PBE-GGA level of DFT.

E: -5.778 eV per atom
space-group type: C2/m
calculated volume: 335.02 Å³/cell

abc: 6.061 7.417 8.598
angles: 106.63 90.00 114.11
Atoms (fractional coordinates):
Nd 0.500 0.000 0.000
Se 0.666 0.332 0.334
Nd 0.168 0.335 0.341
Se 0.000 0.000 0.500
Nd 0.165 0.329 0.822
Nd 0.832 0.665 0.659
Se 0.672 0.343 0.840
Se 0.334 0.668 0.666
Se 0.328 0.657 0.160
Sn 0.000 0.000 0.000
Nd 0.835 0.671 0.178



No. 9
Computed, not measured: a relaxed Pm5ScZn6 crystal at the PBE-GGA level of DFT.

space-group type: C2/m
formation energy from the elements: -310 meV per atom
calculated volume: 281.93 Å³/cell

abc: 5.074 7.239 8.855
angles: 114.13 106.60 90.00
Atoms (fractional coordinates):
Zn 0.158 0.924 0.316
Zn 0.500 0.220 0.000
Pm 0.664 0.664 0.328
Zn 0.158 0.392 0.316
Zn 0.842 0.076 0.684
Pm 0.336 0.336 0.672
Pm 0.000 0.500 0.000
Sc 0.000 0.000 0.000
Zn 0.500 0.780 0.000
Pm 0.671 0.171 0.341
Zn 0.842 0.608 0.684
Pm 0.329 0.829 0.659



No. 10
Computed, not measured: a relaxed Cu3AgCl4 crystal at the PBE-GGA level of DFT.

E: -3.207 eV per atom
space-group type: I-42m
calculated volume: 172.51 Å³/cell

abc: 5.581 5.581 6.801
angles: 114.22 114.22 90.00
Atoms (fractional coordinates):
Cl 0.864 0.864 0.270
Cl 0.406 0.406 0.270
Cu 0.750 0.250 0.500
Cl 0.136 0.594 0.730
Cu 0.250 0.750 0.500
Ag 0.000 0.000 0.000
Cl 0.594 0.136 0.730
Cu 0.500 0.500 0.000



No. 11
Computed, not measured: a relaxed Ti2Be3Tc crystal at the PBE-GGA level of DFT.

space-group type: C2/m
formation energy from the elements: -265 meV per atom
calculated volume: 73.41 Å³/cell

abc: 4.598 4.598 4.811
angles: 89.96 118.48 120.11
Each line ends with the local moment (μB).
Atoms (fractional coordinates):
Tc 0.000 0.000 0.000  -0.04
Be 0.500 0.000 0.500  0.00
Ti 0.755 0.378 0.133  0.16
Be 0.000 0.000 0.500  0.00
Be 0.500 0.500 0.500  0.00
Ti 0.245 0.622 0.867  0.16



No. 12
Computed, not measured: a relaxed SrCeScO4 crystal at the PBE-GGA level of DFT.

E: -8.013 eV per atom
space-group type: Cmc2_1
calculated volume: 208.95 Å³/cell

abc: 6.827 6.827 5.889
angles: 90.00 90.00 130.41
Each line ends with the local moment (μB).
Atoms (fractional coordinates):
O 0.969 0.518 0.259  -0.01
Ce 0.607 0.393 0.514  0.94
Sr 0.105 0.895 0.989  0.00
O 0.083 0.917 0.569  -0.01
Ce 0.393 0.607 0.014  0.94
O 0.482 0.031 0.259  -0.01
Sc 0.755 0.245 0.005  0.01
O 0.568 0.432 0.905  -0.02
O 0.432 0.568 0.405  -0.02
O 0.031 0.482 0.759  -0.01
O 0.917 0.083 0.069  -0.01
Sc 0.245 0.755 0.505  0.01
Sr 0.895 0.105 0.489  0.00
O 0.518 0.969 0.759  -0.01